(1)
BaPr2Sc2O7: relaxed, PBE-GGA.

```
BaPr2Sc2O7
1.0
-5.0685 -0.0032 -2.8320
-2.5155 -2.6622 4.5050
-4.5742 18.1408 8.1662
Pr O Sc Ba
8 28 8 4
Cartesian
-9.2458 12.8637 7.8792
-5.9340 5.1242 1.4134
-6.2242 10.3512 8.4257
-2.9123 2.6117 1.9599
-6.3557 1.4016 2.7195
-7.6181 11.8030 4.4199
-5.8025 14.0738 7.1197
-4.5401 3.6725 5.4193
-3.0316 5.7038 5.4193
-2.7694 4.7806 2.6962
-4.6781 12.3504 6.1038
-5.2300 2.9559 1.1505
-4.0581 9.7748 7.2519
-3.0646 -2.0903 2.9269
-7.4801 3.1250 3.7354
-1.8581 7.3688 3.3171
-4.3081 7.0333 1.7508
-5.4922 5.4103 3.8719
-9.3888 10.6948 7.1430
-0.5869 2.3274 1.0477
-3.0475 2.0339 -0.4997
-4.2628 1.9485 3.9301
-7.7102 7.1644 5.2794
-7.9371 15.1066 8.2367
-4.4479 8.3110 4.5598
-4.2210 0.3689 1.6025
-6.6659 10.0651 5.9673
-6.5952 16.1037 5.8339
-6.9282 12.5195 8.6887
-5.3346 11.1043 3.5834
-3.9873 15.8134 7.1185
-1.7710 0.7044 3.1688
-7.8954 13.5269 5.9091
-4.5194 -0.5751 -1.2540
-2.7162 10.7720 4.8491
-5.3187 14.7742 9.5024
-4.9109 1.1826 -0.2282
-7.4570 5.2604 4.5013
-4.7011 10.2150 5.3379
-3.5964 -0.1865 3.5494
-8.3803 8.9219 6.1495
-7.2473 14.2928 10.0674
-8.5618 15.6619 6.2897
-3.7779 6.5535 3.6897
-1.9673 -0.6914 0.4340
-5.4169 7.0480 6.8228
-6.7413 8.4275 3.0164
-5.6167 -1.9740 1.2390
```

Calculated values
Space-group type: P4_2/mnm (136)
Crystal system: tetragonal
DFT total energy, eV per cell: -395.21

(2)
Ba4TbPr3O12: relaxed, PBE-GGA.

```
Ba4TbPr3O12
1.0
-8.5168 -7.4224 -2.9070
-7.4514 -8.3656 3.2513
-11.0388 -3.5131 1.3716
Pr O Ba Tb
3 12 4 1
Cartesian
-16.0950 -11.5027 1.0227
-13.5035 -9.6506 0.8580
-10.9120 -7.7985 0.6933
-12.4743 -8.2585 2.4873
-17.0598 -11.4510 2.9974
-12.9979 -7.7949 -0.5394
-14.0091 -11.5062 2.2554
-9.9471 -7.8501 -1.2814
-14.5327 -11.0426 -0.7713
-9.3560 -8.3735 2.1359
-17.6510 -10.9276 -0.4199
-11.2347 -10.1799 0.3844
-11.3466 -5.6809 1.0929
-15.6604 -13.6203 0.6231
-15.7723 -9.1212 1.3316
-3.0820 -2.2026 0.1958
-19.7040 -14.0819 1.2520
-7.3029 -5.2192 0.4640
-23.9250 -17.0986 1.5202
0.0000 0.0000 0.0000
```

Calculated values
Space-group type: R-3m (166)
Crystal system: trigonal
DFT total energy, eV per cell: -134.41

(3)
Ba2PrZn4O8: relaxed, PBE-GGA.

```
Ba2PrZn4O8
1.0
2.0218 -13.6764 0.0000
2.0218 13.6764 0.0000
0.0000 0.0000 3.9064
O Zn Ba Pr
8 4 2 1
Cartesian
2.0218 -1.4981 0.0000
2.0218 -12.1480 1.9532
2.0218 -7.7615 1.9532
2.0218 1.4981 0.0000
2.0218 7.7615 1.9532
2.0218 12.1480 1.9532
2.0218 -3.9268 1.9532
2.0218 3.9268 1.9532
2.0218 1.8887 1.9532
2.0218 -1.8887 1.9532
2.0218 -5.8260 1.9532
2.0218 5.8260 1.9532
2.0218 -9.9621 0.0000
2.0218 9.9621 0.0000
0.0000 0.0000 0.0000
```

Calculated values
Space-group type: Cmmm (65)
Crystal system: orthorhombic
DFT total energy, eV per cell: -82.17